(1)
# KZn3Ag PBE-GGA relaxed
# - Fermi-level density of states (states/eV per cell) = 2.10
# - SG = Pm-3m (221)
# - energy above the most stable polymorph in this dataset (eV/atom) = 0.060
# - formation energy (eV/atom) = 0.1449
data_KZn3Ag
_chemical_formula_sum 'K1 Zn3 Ag1'
_cell_length_a 5.074
_cell_length_b 5.074
_cell_length_c 5.074
_cell_angle_alpha 90.00
_cell_angle_beta 90.00
_cell_angle_gamma 90.00
_space_group_name_H-M_alt 'P 1'
_space_group_IT_number 1
_space_group_name_Hall 'P 1'
loop_
_atom_site_label
_atom_site_fract_x
_atom_site_fract_y
_atom_site_fract_z
_atom_site_occupancy
Zn1 0.000 0.500 0.000 1
Zn2 0.000 0.000 0.500 1
Zn3 0.500 0.000 0.000 1
K1 0.500 0.500 0.500 1
Ag1 0.000 0.000 0.000 1



(2)
# K2ZnAg PBE-GGA relaxed
# - Fermi-level density of states (states/eV per cell) = 2.39
# - SG = P4mm (99)
# - formation energy (eV/atom) = 0.0897
data_K2ZnAg
_chemical_formula_sum 'K2 Zn1 Ag1'
_cell_length_a 3.764
_cell_length_b 3.764
_cell_length_c 9.997
_cell_angle_alpha 90.00
_cell_angle_beta 90.00
_cell_angle_gamma 90.00
_space_group_name_H-M_alt 'P 1'
_space_group_IT_number 1
_space_group_name_Hall 'P 1'
loop_
_atom_site_label
_atom_site_fract_x
_atom_site_fract_y
_atom_site_fract_z
_atom_site_occupancy
Ag1 0.500 0.500 0.658 1
K1 0.000 0.000 0.919 1
K2 0.500 0.500 0.331 1
Zn1 0.000 0.000 0.592 1



(3)
# KZnAg4 PBE-GGA relaxed
# - Fermi-level density of states (states/eV per cell) = 2.16
# - SG = F-43m (216)
# - formation energy (eV/atom) = 0.1028
data_KZnAg4
_chemical_formula_sum 'K1 Zn1 Ag4'
_cell_length_a 5.701
_cell_length_b 5.701
_cell_length_c 5.701
_cell_angle_alpha 60.00
_cell_angle_beta 60.00
_cell_angle_gamma 60.00
_space_group_name_H-M_alt 'P 1'
_space_group_IT_number 1
_space_group_name_Hall 'P 1'
loop_
_atom_site_label
_atom_site_fract_x
_atom_site_fract_y
_atom_site_fract_z
_atom_site_occupancy
K1 0.750 0.750 0.750 1
Zn1 0.000 0.000 0.000 1
Ag1 0.877 0.374 0.374 1
Ag2 0.374 0.374 0.877 1
Ag3 0.374 0.877 0.374 1
Ag4 0.374 0.374 0.374 1



(4)
# KZn9Ag4 PBE-GGA relaxed
# - Fermi-level density of states (states/eV per cell) = 9.17
# - SG = I4/mcm (140)
# - formation energy (eV/atom) = -0.0486
data_KZn9Ag4
_chemical_formula_sum 'K2 Zn18 Ag8'
_cell_length_a 8.943
_cell_length_b 8.943
_cell_length_c 8.954
_cell_angle_alpha 119.96
_cell_angle_beta 119.96
_cell_angle_gamma 90.00
_space_group_name_H-M_alt 'P 1'
_space_group_IT_number 1
_space_group_name_Hall 'P 1'
loop_
_atom_site_label
_atom_site_fract_x
_atom_site_fract_y
_atom_site_fract_z
_atom_site_occupancy
K1 0.750 0.750 0.500 1
K2 0.250 0.250 0.500 1
Zn1 0.059 0.201 0.000 1
Zn2 0.941 0.799 0.000 1
Zn3 0.559 0.299 0.000 1
Zn4 0.441 0.701 0.000 1
Zn5 0.299 0.441 0.000 1
Zn6 0.701 0.559 0.000 1
Zn7 0.201 0.941 0.000 1
Zn8 0.799 0.059 0.000 1
Zn9 0.000 0.500 0.000 1
Zn10 0.500 0.000 0.000 1
Zn11 0.792 0.292 0.357 1
Zn12 0.566 0.066 0.357 1
Zn13 0.934 0.208 0.643 1
Zn14 0.708 0.434 0.643 1
Zn15 0.208 0.708 0.643 1
Zn16 0.434 0.934 0.643 1
Zn17 0.292 0.566 0.357 1
Zn18 0.066 0.792 0.357 1
Ag1 0.306 0.806 0.243 1
Ag2 0.938 0.438 0.243 1
Ag3 0.562 0.694 0.757 1
Ag4 0.194 0.062 0.757 1
Ag5 0.694 0.194 0.757 1
Ag6 0.062 0.562 0.757 1
Ag7 0.806 0.938 0.243 1
Ag8 0.438 0.306 0.243 1



(5)
# KZn2Ag2 PBE-GGA relaxed
# - Fermi-level density of states (states/eV per cell) = 1.85
# - SG = I4/mmm (139)
# - energy above the most stable polymorph in this dataset (eV/atom) = 0.019
# - formation energy (eV/atom) = 0.0433
data_KZn2Ag2
_chemical_formula_sum 'K1 Zn2 Ag2'
_cell_length_a 4.742
_cell_length_b 4.742
_cell_length_c 6.269
_cell_angle_alpha 67.78
_cell_angle_beta 67.78
_cell_angle_gamma 90.00
_space_group_name_H-M_alt 'P 1'
_space_group_IT_number 1
_space_group_name_Hall 'P 1'
loop_
_atom_site_label
_atom_site_fract_x
_atom_site_fract_y
_atom_site_fract_z
_atom_site_occupancy
Zn1 0.750 0.250 0.500 1
Zn2 0.250 0.750 0.500 1
K1 0.000 0.000 0.000 1
Ag1 0.367 0.367 0.266 1
Ag2 0.633 0.633 0.734 1



(6)
# KZn6Ag6 PBE-GGA relaxed
# - Fermi-level density of states (states/eV per cell) = 4.56
# - SG = Immm (71)
# - formation energy (eV/atom) = -0.0194
data_KZn6Ag6
_chemical_formula_sum 'K1 Zn6 Ag6'
_cell_length_a 5.290
_cell_length_b 7.150
_cell_length_c 7.150
_cell_angle_alpha 82.94
_cell_angle_beta 68.29
_cell_angle_gamma 68.29
_space_group_name_H-M_alt 'P 1'
_space_group_IT_number 1
_space_group_name_Hall 'P 1'
loop_
_atom_site_label
_atom_site_fract_x
_atom_site_fract_y
_atom_site_fract_z
_atom_site_occupancy
K1 0.000 0.000 0.000 1
Zn1 0.000 0.500 0.000 1
Zn2 0.500 0.500 0.000 1
Zn3 0.000 0.000 0.500 1
Zn4 0.500 0.000 0.500 1
Zn5 0.500 0.769 0.231 1
Zn6 0.500 0.231 0.769 1
Ag1 0.350 0.650 0.650 1
Ag2 0.650 0.350 0.350 1
Ag3 0.000 0.348 0.652 1
Ag4 0.000 0.652 0.348 1
Ag5 0.290 0.210 0.210 1
Ag6 0.710 0.790 0.790 1



(7)
# KZnAg3 PBE-GGA relaxed
# - Fermi-level density of states (states/eV per cell) = 3.43
# - SG = Imma (74)
# - energy above the most stable polymorph in this dataset (eV/atom) = 0.000
# - formation energy (eV/atom) = 0.0416
data_KZnAg3
_chemical_formula_sum 'K2 Zn2 Ag6'
_cell_length_a 5.732
_cell_length_b 7.285
_cell_length_c 7.285
_cell_angle_alpha 74.11
_cell_angle_beta 66.83
_cell_angle_gamma 66.83
_space_group_name_H-M_alt 'P 1'
_space_group_IT_number 1
_space_group_name_Hall 'P 1'
loop_
_atom_site_label
_atom_site_fract_x
_atom_site_fract_y
_atom_site_fract_z
_atom_site_occupancy
K1 0.750 0.322 0.178 1
K2 0.250 0.678 0.822 1
Zn1 0.000 0.500 0.500 1
Zn2 0.500 0.000 0.000 1
Ag1 0.785 0.215 0.715 1
Ag2 0.285 0.215 0.715 1
Ag3 0.715 0.785 0.285 1
Ag4 0.215 0.785 0.285 1
Ag5 0.750 0.876 0.624 1
Ag6 0.250 0.124 0.376 1



(8)
# KZn2Ag3 PBE-GGA relaxed
# - Fermi-level density of states (states/eV per cell) = 3.65
# - SG = Cmcm (63)
# - formation energy (eV/atom) = -0.0529
data_KZn2Ag3
_chemical_formula_sum 'K2 Zn4 Ag6'
_cell_length_a 5.485
_cell_length_b 7.173
_cell_length_c 7.173
_cell_angle_alpha 104.54
_cell_angle_beta 90.00
_cell_angle_gamma 90.00
_space_group_name_H-M_alt 'P 1'
_space_group_IT_number 1
_space_group_name_Hall 'P 1'
loop_
_atom_site_label
_atom_site_fract_x
_atom_site_fract_y
_atom_site_fract_z
_atom_site_occupancy
K1 0.250 0.337 0.337 1
K2 0.750 0.663 0.663 1
Zn1 0.500 0.798 0.202 1
Zn2 0.000 0.798 0.202 1
Zn3 0.000 0.202 0.798 1
Zn4 0.500 0.202 0.798 1
Ag1 0.750 0.471 0.063 1
Ag2 0.750 0.063 0.471 1
Ag3 0.250 0.529 0.937 1
Ag4 0.750 0.072 0.072 1
Ag5 0.250 0.928 0.928 1
Ag6 0.250 0.937 0.529 1



(9)
# KZn2Ag PBE-GGA relaxed
# - Fermi-level density of states (states/eV per cell) = 1.48
# - SG = C2/m (12)
# - energy above the most stable polymorph in this dataset (eV/atom) = 0.350
# - formation energy (eV/atom) = 0.3222
data_KZn2Ag
_chemical_formula_sum 'K1 Zn2 Ag1'
_cell_length_a 6.203
_cell_length_b 6.139
_cell_length_c 2.880
_cell_angle_alpha 81.86
_cell_angle_beta 79.38
_cell_angle_gamma 117.52
_space_group_name_H-M_alt 'P 1'
_space_group_IT_number 1
_space_group_name_Hall 'P 1'
loop_
_atom_site_label
_atom_site_fract_x
_atom_site_fract_y
_atom_site_fract_z
_atom_site_occupancy
Ag1 0.000 0.500 0.500 1
K1 0.500 0.500 0.000 1
Zn1 0.000 0.000 0.000 1
Zn2 0.500 0.000 0.500 1



(10)
# K2Zn6Ag9 PBE-GGA relaxed
# - Fermi-level density of states (states/eV per cell) = 8.56
# - SG = P6/mmm (191)
# - formation energy (eV/atom) = 0.0595
data_K2Zn6Ag9
_chemical_formula_sum 'K2 Zn6 Ag9'
_cell_length_a 5.922
_cell_length_b 5.922
_cell_length_c 12.512
_cell_angle_alpha 90.00
_cell_angle_beta 90.00
_cell_angle_gamma 120.00
_space_group_name_H-M_alt 'P 1'
_space_group_IT_number 1
_space_group_name_Hall 'P 1'
loop_
_atom_site_label
_atom_site_fract_x
_atom_site_fract_y
_atom_site_fract_z
_atom_site_occupancy
K1 0.000 0.000 0.676 1
K2 0.000 0.000 0.324 1
Zn1 0.333 0.667 0.000 1
Zn2 0.667 0.333 0.000 1
Zn3 0.333 0.667 0.667 1
Zn4 0.667 0.333 0.667 1
Zn5 0.667 0.333 0.333 1
Zn6 0.333 0.667 0.333 1
Ag1 0.500 0.000 0.835 1
Ag2 0.000 0.500 0.835 1
Ag3 0.500 0.500 0.835 1
Ag4 0.500 0.000 0.165 1
Ag5 0.000 0.500 0.165 1
Ag6 0.500 0.500 0.165 1
Ag7 0.500 0.000 0.500 1
Ag8 0.000 0.500 0.500 1
Ag9 0.500 0.500 0.500 1



(11)
# K4ZnAg5 PBE-GGA relaxed
# - Fermi-level density of states (states/eV per cell) = 4.84
# - SG = C2 (5)
# - formation energy (eV/atom) = 0.0924
data_K4ZnAg5
_chemical_formula_sum 'K4 Zn1 Ag5'
_cell_length_a 6.545
_cell_length_b 7.881
_cell_length_c 7.876
_cell_angle_alpha 80.11
_cell_angle_beta 65.45
_cell_angle_gamma 65.46
_space_group_name_H-M_alt 'P 1'
_space_group_IT_number 1
_space_group_name_Hall 'P 1'
loop_
_atom_site_label
_atom_site_fract_x
_atom_site_fract_y
_atom_site_fract_z
_atom_site_occupancy
K1 0.759 0.613 0.773 1
K2 0.532 0.227 0.613 1
K3 0.372 0.773 0.387 1
K4 0.145 0.387 0.227 1
Zn1 0.230 0.000 0.000 1
Ag1 0.143 0.739 0.881 1
Ag2 0.025 0.119 0.739 1
Ag3 0.883 0.881 0.261 1
Ag4 0.763 0.261 0.119 1
Ag5 0.637 0.000 0.000 1



(12)
# K2ZnAg PBE-GGA relaxed
# - Fermi-level density of states (states/eV per cell) = 1.27
# - SG = P2/m (10)
# - formation energy (eV/atom) = 0.1360
data_K2ZnAg
_chemical_formula_sum 'K2 Zn1 Ag1'
_cell_length_a 4.293
_cell_length_b 4.042
_cell_length_c 9.094
_cell_angle_alpha 63.44
_cell_angle_beta 90.00
_cell_angle_gamma 90.00
_space_group_name_H-M_alt 'P 1'
_space_group_IT_number 1
_space_group_name_Hall 'P 1'
loop_
_atom_site_label
_atom_site_fract_x
_atom_site_fract_y
_atom_site_fract_z
_atom_site_occupancy
Ag1 0.500 0.750 0.750 1
K1 0.000 0.010 0.990 1
K2 0.000 0.490 0.510 1
Zn1 0.500 0.250 0.250 1



(13)
# KZn2Ag PBE-GGA relaxed
# - Fermi-level density of states (states/eV per cell) = 1.97
# - SG = Cm (8)
# - energy above the most stable polymorph in this dataset (eV/atom) = 0.000
# - formation energy (eV/atom) = -0.0283
data_KZn2Ag
_chemical_formula_sum 'K1 Zn2 Ag1'
_cell_length_a 4.534
_cell_length_b 4.534
_cell_length_c 6.702
_cell_angle_alpha 69.40
_cell_angle_beta 69.40
_cell_angle_gamma 61.69
_space_group_name_H-M_alt 'P 1'
_space_group_IT_number 1
_space_group_name_Hall 'P 1'
loop_
_atom_site_label
_atom_site_fract_x
_atom_site_fract_y
_atom_site_fract_z
_atom_site_occupancy
Ag1 0.431 0.431 0.708 1
K1 0.248 0.248 0.252 1
Zn1 0.068 0.068 0.792 1
Zn2 0.753 0.753 0.748 1



(14)
# KZn2Ag PBE-GGA relaxed
# - Fermi-level density of states (states/eV per cell) = 6.04
# - SG = Pnma (62)
# - energy above the most stable polymorph in this dataset (eV/atom) = 0.003
# - formation energy (eV/atom) = -0.0255
data_KZn2Ag
_chemical_formula_sum 'K4 Zn8 Ag4'
_cell_length_a 4.423
_cell_length_b 8.043
_cell_length_c 12.127
_cell_angle_alpha 90.00
_cell_angle_beta 90.00
_cell_angle_gamma 90.00
_space_group_name_H-M_alt 'P 1'
_space_group_IT_number 1
_space_group_name_Hall 'P 1'
loop_
_atom_site_label
_atom_site_fract_x
_atom_site_fract_y
_atom_site_fract_z
_atom_site_occupancy
K1 0.750 0.866 0.260 1
K2 0.750 0.366 0.240 1
K3 0.250 0.134 0.740 1
K4 0.250 0.634 0.760 1
Zn1 0.750 0.753 0.987 1
Zn2 0.250 0.247 0.013 1
Zn3 0.750 0.253 0.513 1
Zn4 0.250 0.747 0.487 1
Zn5 0.750 0.080 0.986 1
Zn6 0.250 0.420 0.486 1
Zn7 0.750 0.580 0.514 1
Zn8 0.250 0.920 0.014 1
Ag1 0.250 0.089 0.459 1
Ag2 0.750 0.911 0.541 1
Ag3 0.250 0.589 0.041 1
Ag4 0.750 0.411 0.959 1



(15)
# K3Zn4Ag4 PBE-GGA relaxed
# - Fermi-level density of states (states/eV per cell) = 1.29
# - SG = I-43m (217)
# - formation energy (eV/atom) = -0.0196
data_K3Zn4Ag4
_chemical_formula_sum 'K3 Zn4 Ag4'
_cell_length_a 7.157
_cell_length_b 7.157
_cell_length_c 7.157
_cell_angle_alpha 109.47
_cell_angle_beta 109.47
_cell_angle_gamma 109.47
_space_group_name_H-M_alt 'P 1'
_space_group_IT_number 1
_space_group_name_Hall 'P 1'
loop_
_atom_site_label
_atom_site_fract_x
_atom_site_fract_y
_atom_site_fract_z
_atom_site_occupancy
K1 0.500 0.500 0.000 1
K2 0.500 0.000 0.500 1
K3 0.000 0.500 0.500 1
Zn1 0.000 0.233 0.000 1
Zn2 0.000 0.000 0.233 1
Zn3 0.233 0.000 0.000 1
Zn4 0.767 0.767 0.767 1
Ag1 0.000 0.599 0.000 1
Ag2 0.599 0.000 0.000 1
Ag3 0.000 0.000 0.599 1
Ag4 0.401 0.401 0.401 1



(16)
# K2ZnAg PBE-GGA relaxed
# - Fermi-level density of states (states/eV per cell) = 2.67
# - SG = I-4m2 (119)
# - formation energy (eV/atom) = 0.1799
data_K2ZnAg
_chemical_formula_sum 'K2 Zn1 Ag1'
_cell_length_a 6.237
_cell_length_b 6.237
_cell_length_c 6.237
_cell_angle_alpha 131.97
_cell_angle_beta 131.97
_cell_angle_gamma 70.28
_space_group_name_H-M_alt 'P 1'
_space_group_IT_number 1
_space_group_name_Hall 'P 1'
loop_
_atom_site_label
_atom_site_fract_x
_atom_site_fract_y
_atom_site_fract_z
_atom_site_occupancy
Ag1 0.750 0.250 0.500 1
K1 0.000 0.000 0.000 1
K2 0.250 0.750 0.500 1
Zn1 0.500 0.500 0.000 1



(17)
# K2ZnAg PBE-GGA relaxed
# - Fermi-level density of states (states/eV per cell) = 4.08
# - SG = F-43m (216)
# - formation energy (eV/atom) = 0.1924
data_K2ZnAg
_chemical_formula_sum 'K2 Zn1 Ag1'
_cell_length_a 5.606
_cell_length_b 5.606
_cell_length_c 5.606
_cell_angle_alpha 60.00
_cell_angle_beta 60.00
_cell_angle_gamma 60.00
_space_group_name_H-M_alt 'P 1'
_space_group_IT_number 1
_space_group_name_Hall 'P 1'
loop_
_atom_site_label
_atom_site_fract_x
_atom_site_fract_y
_atom_site_fract_z
_atom_site_occupancy
Ag1 0.500 0.500 0.500 1
K1 0.000 0.000 0.000 1
K2 0.250 0.250 0.250 1
Zn1 0.750 0.750 0.750 1



(18)
# K2Zn9Ag6 PBE-GGA relaxed
# - Fermi-level density of states (states/eV per cell) = 5.22
# - SG = P6/mmm (191)
# - formation energy (eV/atom) = 0.0533
data_K2Zn9Ag6
_chemical_formula_sum 'K2 Zn9 Ag6'
_cell_length_a 5.623
_cell_length_b 5.623
_cell_length_c 13.221
_cell_angle_alpha 90.00
_cell_angle_beta 90.00
_cell_angle_gamma 120.00
_space_group_name_H-M_alt 'P 1'
_space_group_IT_number 1
_space_group_name_Hall 'P 1'
loop_
_atom_site_label
_atom_site_fract_x
_atom_site_fract_y
_atom_site_fract_z
_atom_site_occupancy
K1 0.000 0.000 0.672 1
K2 0.000 0.000 0.328 1
Zn1 0.500 0.000 0.837 1
Zn2 0.000 0.500 0.837 1
Zn3 0.500 0.500 0.837 1
Zn4 0.500 0.000 0.163 1
Zn5 0.000 0.500 0.163 1
Zn6 0.500 0.500 0.163 1
Zn7 0.500 0.000 0.500 1
Zn8 0.000 0.500 0.500 1
Zn9 0.500 0.500 0.500 1
Ag1 0.333 0.667 0.000 1
Ag2 0.667 0.333 0.000 1
Ag3 0.333 0.667 0.669 1
Ag4 0.667 0.333 0.669 1
Ag5 0.667 0.333 0.331 1
Ag6 0.333 0.667 0.331 1



(19)
# KZn2Ag2 PBE-GGA relaxed
# - Fermi-level density of states (states/eV per cell) = 1.75
# - SG = P-3m1 (164)
# - energy above the most stable polymorph in this dataset (eV/atom) = 0.154
# - formation energy (eV/atom) = 0.1778
data_KZn2Ag2
_chemical_formula_sum 'K1 Zn2 Ag2'
_cell_length_a 4.414
_cell_length_b 4.414
_cell_length_c 8.102
_cell_angle_alpha 90.00
_cell_angle_beta 90.00
_cell_angle_gamma 120.00
_space_group_name_H-M_alt 'P 1'
_space_group_IT_number 1
_space_group_name_Hall 'P 1'
loop_
_atom_site_label
_atom_site_fract_x
_atom_site_fract_y
_atom_site_fract_z
_atom_site_occupancy
K1 0.000 0.000 0.000 1
Zn1 0.667 0.333 0.634 1
Zn2 0.333 0.667 0.366 1
Ag1 0.333 0.667 0.699 1
Ag2 0.667 0.333 0.301 1



(20)
# K2ZnAg2 PBE-GGA relaxed
# - Fermi-level density of states (states/eV per cell) = 2.32
# - SG = I4/mmm (139)
# - energy above the most stable polymorph in this dataset (eV/atom) = 0.147
# - formation energy (eV/atom) = 0.1512
data_K2ZnAg2
_chemical_formula_sum 'K2 Zn1 Ag2'
_cell_length_a 3.947
_cell_length_b 3.947
_cell_length_c 10.681
_cell_angle_alpha 79.35
_cell_angle_beta 79.35
_cell_angle_gamma 90.00
_space_group_name_H-M_alt 'P 1'
_space_group_IT_number 1
_space_group_name_Hall 'P 1'
loop_
_atom_site_label
_atom_site_fract_x
_atom_site_fract_y
_atom_site_fract_z
_atom_site_occupancy
Zn1 0.000 0.000 0.000 1
K1 0.388 0.388 0.223 1
K2 0.612 0.612 0.777 1
Ag1 0.750 0.250 0.500 1
Ag2 0.250 0.750 0.500 1